--- 1 ---
Here is SrTaTc after structural relaxation from Alexandria via LeMat-Bulk. Energies are from PBE.

Geometry as extended XYZ:
```
3
Lattice="3.346 0.000 0.000 -1.673 2.898 0.000 0.000 0.000 7.313" Properties=species:S:1:pos:R:3 pbc="T T T"
Sr 0.000 0.000 0.000
Ta 0.000 1.932 3.065
Tc 1.673 0.966 4.683
```

---

--- 2 ---
Here is SrTaTc after structural relaxation from Alexandria via LeMat-Bulk. Energies are from PBE.

Geometry as extended XYZ:
```
3
Lattice="0.000 2.602 7.398 1.731 0.000 7.398 1.731 2.602 0.000" Properties=species:S:1:pos:R:3 pbc="T T T"
Sr 0.000 0.000 0.000
Ta 1.731 2.602 4.374
Tc 1.731 2.602 9.991
```

---

--- 3 ---
Here is SrTaTc after structural relaxation from Alexandria via LeMat-Bulk. Energies are from PBE.

Geometry as extended XYZ:
```
3
Lattice="-1.679 1.679 6.262 1.679 -1.679 6.262 1.679 1.679 -6.262" Properties=species:S:1:pos:R:3 pbc="T T T"
Sr 0.000 0.000 0.000
Ta 0.000 0.000 3.484
Tc 0.000 0.000 8.649
```

---

--- 4 ---
Here is SrTaTc after structural relaxation from Alexandria via LeMat-Bulk. Energies are from PBE.

Geometry as extended XYZ:
```
3
Lattice="4.595 0.000 0.000 -2.298 3.980 0.000 0.000 0.000 3.582" Properties=species:S:1:pos:R:3 pbc="T T T"
Sr 0.000 0.000 0.000
Ta 2.298 1.327 1.583
Tc 0.000 2.653 2.155
```

---

Stability ranking, top and bottom: 3 is the most stable and 4 is the least stable.

---

--- 1 ---
Here is SrTaTc2 after structural relaxation from Alexandria via LeMat-Bulk. Energies are from PBE.

Geometry as extended XYZ:
```
4
Lattice="3.365 0.000 0.000 0.000 3.365 0.000 0.000 0.000 7.738" Properties=species:S:1:pos:R:3 pbc="T T T"
Sr 0.000 0.000 0.000
Ta 1.683 1.683 2.795
Tc 0.000 0.000 4.099
Tc 1.683 1.683 5.265
```

---

--- 2 ---
Here is SrTaTc2 after structural relaxation from Alexandria via LeMat-Bulk. Energies are from PBE.

Geometry as extended XYZ:
```
4
Lattice="3.133 -4.557 0.000 3.133 4.557 0.000 -0.927 0.000 2.613" Properties=species:S:1:pos:R:3 pbc="T T T"
Sr 0.000 0.000 0.000
Ta 3.133 0.000 0.000
Tc 1.103 2.278 1.306
Tc 1.103 -2.278 1.306
```

---

Stability ranking, top and bottom: 1 is the most stable and 2 is the least stable.

---

--- 1 ---
Here is SrTaTc2 after structural relaxation from Alexandria via LeMat-Bulk. Energies are from PBE.

Geometry as extended XYZ:
```
4
Lattice="0.000 3.320 3.320 3.320 0.000 3.320 3.320 3.320 0.000" Properties=species:S:1:pos:R:3 pbc="T T T"
Sr 0.000 0.000 0.000
Ta 4.981 4.981 4.981
Tc 1.660 1.660 1.660
Tc 3.320 3.320 3.320
```

---

--- 2 ---
Here is SrTaTc2 after structural relaxation from Alexandria via LeMat-Bulk. Energies are from PBE.

Geometry as extended XYZ:
```
4
Lattice="0.000 3.336 3.336 3.336 0.000 3.336 3.336 3.336 0.000" Properties=species:S:1:pos:R:3 pbc="T T T"
Sr 0.000 0.000 0.000
Ta 3.336 3.336 3.336
Tc 1.668 1.668 1.668
Tc 5.004 5.004 5.004
```

---

Stability ranking, top and bottom: 2 is the most stable and 1 is the least stable.